Here is SrTe2 after structural relaxation from Alexandria. Energies are from PBE.

Geometry as POSCAR:
```
SrTe2
1.0
6.230 0.000 0.000
0.000 8.066 0.000
0.000 0.000 5.131
Sr Te
2 4
Direct
0.000 0.000 0.000
0.500 0.500 0.500
0.176 0.394 0.000
0.324 0.894 0.500
0.676 0.106 0.500
0.824 0.606 0.000
```

Output
Formation energy from raw total energies in eV/atom: -1.026



Here is Pm3NdS4 after structural relaxation from Alexandria. Energies are from PBE.

Geometry as POSCAR:
```
Pm3NdS4
1.0
7.028 0.000 0.000
0.000 8.020 0.000
-2.334 0.000 6.628
Pm Nd S
6 2 8
Direct
0.000 0.125 0.250
0.000 0.375 0.750
0.000 0.625 0.250
0.000 0.875 0.750
0.500 0.125 0.750
0.500 0.875 0.250
0.500 0.375 0.250
0.500 0.625 0.750
0.248 0.374 0.500
0.248 0.626 0.000
0.249 0.124 0.999
0.249 0.876 0.499
0.751 0.124 0.501
0.751 0.876 0.001
0.752 0.374 0.000
0.752 0.626 0.500
```

Output
Relative energy among the computed polymorphs in meV/atom: 0
Formation energy from raw total energies in eV/atom: -2.035



Here is GdTmHgPt after structural relaxation from Alexandria. Energies are from PBE.

Geometry as POSCAR:
```
GdTmHgPt
1.0
0.000 3.596 3.596
3.596 0.000 3.596
3.596 3.596 0.000
Gd Tm Hg Pt
1 1 1 1
Direct
0.000 0.000 0.000
0.500 0.500 0.500
0.250 0.250 0.250
0.750 0.750 0.750
```

Output
ΔE_f in kJ/mol of formula units: -314



Here is NaTbTl6 after structural relaxation from Alexandria. Energies are from PBE.

Geometry as POSCAR:
```
NaTbTl6
1.0
4.812 0.000 0.000
0.000 4.812 0.000
0.000 0.000 9.662
Na Tb Tl
1 1 6
Direct
0.000 0.000 0.000
0.000 0.000 0.500
0.000 0.500 0.253
0.000 0.500 0.747
0.500 0.000 0.253
0.500 0.000 0.747
0.500 0.500 0.000
0.500 0.500 0.500
```

Output
ΔE_f in kJ/mol of formula units: -96